The following is a PBE calculation of crystalline Rb7Na4 at its relaxed geometry, from Alexandria via LeMat-Bulk.

* SG: P-6m2 (187)
* ΔE_f: 0.0467 eV per atom
* ρ: 1.44 g/cm³

a = 6.825 Å, b = 11.623 Å, c = 11.623 Å
α = 120.00°, β = 90.00°, γ = 90.00°
Fractional positions:
Rb1 0.000 0.531 0.469
Rb2 0.500 0.186 0.373
Rb3 0.000 0.000 0.000
Rb4 0.000 0.531 0.063
Rb5 0.000 0.937 0.469
Rb6 0.500 0.627 0.814
Rb7 0.500 0.186 0.814
Na1 0.000 0.333 0.667
Na2 0.500 0.772 0.228
Na3 0.500 0.456 0.228
Na4 0.500 0.772 0.544

The following is a PBE calculation of crystalline Zr4NO5 at its relaxed geometry, from Alexandria via LeMat-Bulk.

* SG: Immm (71)
* E_form (uncorrected): -2712 meV/atom
* ρ: 6.08 g/cm³

a = 3.386 Å, b = 5.907 Å, c = 7.130 Å
α = 114.45°, β = 103.73°, γ = 90.00°
Fractional positions:
Zr1 0.307 0.807 0.614
Zr2 0.000 0.247 0.000
Zr3 0.693 0.193 0.386
Zr4 0.000 0.753 0.000
O1 0.174 0.928 0.347
O2 0.173 0.419 0.347
O3 0.826 0.072 0.653
O4 0.500 0.500 0.000
O5 0.827 0.581 0.653
N1 0.500 0.000 0.000

The following is a PBE calculation of crystalline La4Tb2Dy at its relaxed geometry, from Alexandria via LeMat-Bulk.

* SG: Imma (74)
* offset from the most stable computed form: 148 meV per atom
* ΔE_f: 0.2181 eV per atom
* ρ: 6.96 g/cm³

a = 6.965 Å, b = 9.118 Å, c = 9.118 Å
α = 79.17°, β = 67.55°, γ = 67.55°
Fractional positions:
Tb1 0.285 0.965 0.465
Tb2 0.500 0.000 0.000
Tb3 0.500 0.500 0.500
Tb4 0.715 0.035 0.535
Dy1 0.000 0.500 0.000
Dy2 0.500 0.500 0.000
La1 0.849 0.649 0.653
La2 0.151 0.351 0.347
La3 0.774 0.757 0.257
La4 0.151 0.847 0.851
La5 0.226 0.243 0.743
La6 0.789 0.243 0.743
La7 0.211 0.757 0.257
La8 0.849 0.153 0.149

Number 1: energy -1.05 eV per atom, calculated volume 72.59 Å³/atom. Number 2: energy -9.44 eV per atom, calculated volume 12.53 Å³/atom. Number 3: energy -4.58 eV per atom, calculated volume 35.28 Å³/atom.